Record 1
This record from Alexandria via LeMat-Bulk describes an optimized crystal structure of LiDyPa2Se6. The functional is GGA-PBE.

Formation energy without anion corrections = -1.063 eV/atom

POSCAR file:
```
LiDyPa2Se6
1.0
-6.367 -2.592 -0.980
2.214 -3.541 -5.018
1.374 -4.913 4.073
Li Dy Pa Se
1 1 2 6
direct
0.542 0.000 0.000
0.569 0.500 0.500
0.993 0.500 0.000
0.993 0.000 0.500
0.752 0.240 0.240
0.752 0.240 0.760
0.167 0.500 0.500
0.176 0.000 0.000
0.752 0.760 0.760
0.752 0.760 0.240
```

Record 2
This record from Alexandria via LeMat-Bulk describes an optimized crystal structure of Pm2MgIr. The functional is GGA-PBE.

E above lowest polymorph = 0.116 eV per atom
Formation enthalpy at 0 K = -334 meV per atom

POSCAR file:
```
Pm2MgIr
1.0
5.157 0.000 0.000
2.579 4.466 0.000
2.579 1.489 4.211
Mg Ir Pm
1 1 2
direct
0.000 0.000 0.000
0.500 0.500 0.500
0.250 0.250 0.250
0.750 0.750 0.750
```

Record 3
This record from Alexandria via LeMat-Bulk describes an optimized crystal structure of KNdTl2Cl6. The functional is GGA-PBE.

Formation energy without anion corrections = -1.737 eV/atom

POSCAR file:
```
KNdTl2Cl6
1.0
7.879 0.002 0.001
3.941 6.823 0.000
3.940 2.276 6.680
K Nd Tl Cl
1 1 2 6
direct
0.813 0.813 0.561
0.320 0.320 0.040
0.531 0.531 0.408
0.025 0.025 0.925
0.573 0.189 0.252
0.189 0.986 0.252
0.986 0.574 0.252
0.434 0.666 0.775
0.666 0.124 0.776
0.124 0.434 0.775
```

Record 4
This record from Alexandria via LeMat-Bulk describes an optimized crystal structure of NdPbAu2. The functional is GGA-PBE.

Formation enthalpy at 0 K = -520 meV per atom

POSCAR file:
```
NdPbAu2
1.0
3.863 0.000 0.000
0.000 3.863 0.000
0.000 0.000 6.715
Pb Nd Au
1 1 2
direct
0.500 0.500 0.500
0.500 0.500 0.000
0.000 0.000 0.768
0.000 0.000 0.232
```

Record 5
This record from Alexandria via LeMat-Bulk describes an optimized crystal structure of RbIn4Rh. The functional is GGA-PBE.

E above lowest polymorph = 0.054 eV per atom
Formation enthalpy at 0 K = -137 meV per atom

POSCAR file:
```
RbIn4Rh
1.0
5.965 -0.004 2.354
-0.932 5.892 2.354
-0.535 -0.626 10.062
Rb In Rh
2 8 2
direct
0.500 0.500 0.000
0.000 0.000 0.000
0.005 0.156 0.339
0.156 0.656 0.339
0.505 0.005 0.339
0.495 0.995 0.661
0.844 0.344 0.661
0.995 0.844 0.661
0.344 0.495 0.661
0.656 0.505 0.339
0.750 0.750 0.500
0.250 0.250 0.500
```

Record 6
This record from Alexandria via LeMat-Bulk describes an optimized crystal structure of ZrCu2Pd5. The functional is GGA-PBE.

E above lowest polymorph = 0.000 eV per atom
Formation enthalpy at 0 K = -387 meV per atom

POSCAR file:
```
ZrCu2Pd5
1.0
4.016 0.000 0.000
0.000 5.543 0.000
0.000 0.000 11.032
Zr Cu Pd
2 4 10
direct
0.000 0.000 0.500
0.000 0.500 0.000
0.500 0.276 0.368
0.500 0.724 0.632
0.500 0.224 0.868
0.500 0.776 0.132
0.500 0.262 0.120
0.500 0.738 0.880
0.500 0.762 0.380
0.500 0.238 0.620
0.000 0.973 0.743
0.000 0.027 0.257
0.000 0.473 0.757
0.000 0.527 0.243
0.000 0.500 0.500
0.000 0.000 0.000
```

Record 7
This record from Alexandria via LeMat-Bulk describes an optimized crystal structure of WAuN2. The functional is GGA-PBE.

E above lowest polymorph = 1.452 eV per atom
Formation energy without anion corrections = 1.497 eV/atom

POSCAR file:
```
WAuN2
1.0
0.000 2.807 2.807
2.807 0.000 2.807
2.807 2.807 0.000
Au W N
1 1 2
direct
0.500 0.500 0.500
0.000 0.000 0.000
0.250 0.250 0.250
0.750 0.750 0.750
```

Record 8
This record from Alexandria via LeMat-Bulk describes an optimized crystal structure of SrTi3Bi. The functional is GGA-PBE.

E above lowest polymorph = 0.794 eV per atom
Formation enthalpy at 0 K = 1695 meV per atom

POSCAR file:
```
SrTi3Bi
1.0
-3.329 2.339 -2.786
-2.796 -4.060 -0.068
-2.326 1.534 4.068
Sr Bi Ti
1 1 3
direct
0.000 0.000 0.000
0.500 0.500 0.500
0.000 0.500 0.000
0.000 0.000 0.500
0.500 0.000 0.000
```

Record 9
This record from Alexandria via LeMat-Bulk describes an optimized crystal structure of KCdBO3. The functional is GGA-PBE.

Formation energy without anion corrections = -1.815 eV/atom

POSCAR file:
```
KCdBO3
1.0
5.480 0.000 0.000
-2.740 4.746 0.000
0.000 0.000 6.276
K Cd B O
2 2 2 6
direct
0.667 0.333 0.250
0.333 0.667 0.750
0.000 0.000 0.500
0.000 0.000 0.000
0.333 0.667 0.250
0.667 0.333 0.750
0.814 0.186 0.750
0.186 0.372 0.250
0.372 0.186 0.750
0.628 0.814 0.250
0.814 0.628 0.750
0.186 0.814 0.250
```

Record 10
This record from Alexandria via LeMat-Bulk describes an optimized crystal structure of ReHgO4F. The functional is GGA-PBE.

Formation energy without anion corrections = -1.349 eV/atom

POSCAR file:
```
ReHgO4F
1.0
6.088 -0.503 0.492
1.542 5.911 0.492
2.053 1.455 7.934
Re Hg O F
2 2 8 2
direct
0.629 0.629 0.722
0.371 0.371 0.278
0.198 0.198 0.845
0.802 0.802 0.155
0.332 0.332 0.501
0.668 0.668 0.499
0.108 0.469 0.229
0.576 0.576 0.150
0.531 0.892 0.771
0.469 0.108 0.229
0.424 0.424 0.850
0.892 0.531 0.771
0.026 0.026 0.156
0.974 0.974 0.844
```

Record 11
This record from Alexandria via LeMat-Bulk describes an optimized crystal structure of Pr3Ga2Ag4. The functional is GGA-PBE.

Formation enthalpy at 0 K = -379 meV per atom

POSCAR file:
```
Pr3Ga2Ag4
1.0
-0.246 -3.724 -2.908
0.310 -1.541 5.795
-8.267 2.511 -2.516
Pr Ga Ag
3 2 4
direct
0.661 0.321 0.671
0.000 0.000 0.000
0.339 0.679 0.329
0.622 0.244 0.292
0.378 0.756 0.708
0.713 0.427 0.057
0.287 0.573 0.943
0.926 0.852 0.599
0.074 0.148 0.401
```

Record 12
This record from Alexandria via LeMat-Bulk describes an optimized crystal structure of La3NiBr3. The functional is GGA-PBE.

E above lowest polymorph = 0.000 eV per atom
Formation energy without anion corrections = -1.302 eV/atom

POSCAR file:
```
La3NiBr3
1.0
-10.153 -2.527 -1.418
4.109 -4.221 8.763
0.610 10.503 0.893
Ni Br La
4 12 12
direct
0.627 0.627 0.255
0.373 0.373 0.745
0.877 0.123 0.500
0.623 0.377 0.500
0.369 0.631 0.500
0.131 0.869 0.500
0.119 0.119 0.238
0.881 0.881 0.762
0.886 0.635 0.996
0.639 0.890 0.004
0.611 0.115 0.751
0.364 0.860 0.249
0.365 0.114 0.004
0.110 0.361 0.996
0.885 0.389 0.249
0.140 0.636 0.751
0.388 0.612 0.000
0.612 0.388 0.000
0.638 0.138 0.276
0.862 0.362 0.724
0.410 0.406 0.263
0.143 0.147 0.737
0.107 0.344 0.504
0.840 0.603 0.496
0.594 0.590 0.737
0.853 0.857 0.263
0.656 0.893 0.496
0.397 0.160 0.504
```

Record 13
This record from Alexandria via LeMat-Bulk describes an optimized crystal structure of ZrSnRh5. The functional is GGA-PBE.

Formation enthalpy at 0 K = -394 meV per atom

POSCAR file:
```
ZrSnRh5
1.0
3.979 0.000 0.000
0.000 3.979 0.000
0.000 0.000 7.564
Zr Sn Rh
1 1 5
direct
0.000 0.000 0.500
0.500 0.500 0.000
0.000 0.500 0.756
0.000 0.500 0.244
0.500 0.000 0.756
0.500 0.000 0.244
0.500 0.500 0.500
```

Sequential spin magnetization output: 2.004 0.000 0.000 0.000 0.000 0.000 0.000 1.845 0.000 0.000 0.000 0.002 0.000 μB/cell